Ba8Sb3AuBr4 | PBE-GGA | optimized geometry

For the density of states at the Fermi level, the calculation gives 0.3769 states/eV per atom. Its uncorrected formation energy is -1.40 eV/atom.

The structure belongs to space group R-3m (No. 166, hexagonal axes); the cell edges are 9.9083, 9.9083 and 24.0772 Å and the angles 90.00°, 90.00° and 120.00°. The distinct sites, in fractional coordinates, are Ba at (0.0000, 0.0000, 0.2446), Ba at (0.0036, 0.5018, 0.2440), Sb at (0.0000, 0.5000, 0.5000), Au at (0.0000, 0.0000, 0.5000), Br at (0.0000, 0.0000, 0.0000) and Br at (0.0000, 0.5000, 0.0000).

---

Ba6Sb2AuBr3 | PBE-GGA | optimized geometry

For the density of states at the Fermi level, the calculation gives 0.4773 states/eV per atom. Its uncorrected formation energy is -1.38 eV/atom.

The structure belongs to space group C2/m (No. 12); the cell edges are 21.363, 4.946 and 9.907 Å and the angles 90.00°, 104.00° and 90.00°. The distinct sites, in fractional coordinates, are Ba at (0.002, 0.000, 0.265), Ba at (0.159, 0.500, 0.590), Ba at (0.171, 0.500, 0.073), Sb at (0.162, 0.000, 0.830), Au at (0.000, 0.500, 0.500), Br at (0.000, 0.500, 0.000) and Br at (0.172, 0.000, 0.336).

---

BaAuSe2Br | PBE-GGA | optimized geometry

For the density of states at the Fermi level, the calculation gives 1.0726 states/eV per atom. Its uncorrected formation energy is 0.21 eV/atom.

The structure belongs to space group P4/mmm (No. 123); the cell edges are 6.453, 6.453 and 6.154 Å and the angles 90.00°, 90.00° and 90.00°. The distinct sites, in fractional coordinates, are Ba at (0.000, 0.000, 0.000), Au at (0.500, 0.500, 0.500), Se at (0.000, 0.500, 0.000) and Br at (0.000, 0.000, 0.500).

---

Ba6AuSe2Br3 | PBE-GGA | optimized geometry

For the density of states at the Fermi level, the calculation gives 0.4862 states/eV per atom. Its uncorrected formation energy is -1.59 eV/atom.

The structure belongs to space group C2/m (No. 12); the cell edges are 8.289, 14.346 and 8.300 Å and the angles 90.00°, 109.33° and 90.00°. The distinct sites, in fractional coordinates, are Ba at (0.240, 0.165, 0.226), Ba at (0.245, 0.500, 0.229), Au at (0.000, 0.000, 0.000), Se at (0.000, 0.334, 0.000), Br at (0.000, 0.172, 0.500) and Br at (0.000, 0.500, 0.500).

---

BaAuSe2Br | PBE-GGA | optimized geometry

For the density of states at the Fermi level, the calculation gives 0.4909 states/eV per atom. Its uncorrected formation energy is -0.79 eV/atom.

The structure belongs to space group P4/mmm (No. 123); the cell edges are 5.230, 5.230 and 5.349 Å and the angles 90.00°, 90.00° and 90.00°. The distinct sites, in fractional coordinates, are Ba at (0.000, 0.000, 0.000), Au at (0.500, 0.500, 0.500), Se at (0.000, 0.500, 0.500) and Br at (0.500, 0.500, 0.000).

---

BaAuSeBr2 | PBE-GGA | optimized geometry

For the density of states at the Fermi level, the calculation gives 0.2092 states/eV per atom. Its uncorrected formation energy is -0.95 eV/atom.

The structure belongs to space group P4/mmm (No. 123); the cell edges are 5.326, 5.326 and 5.373 Å and the angles 90.00°, 90.00° and 90.00°. The distinct sites, in fractional coordinates, are Ba at (0.000, 0.000, 0.000), Au at (0.500, 0.500, 0.500), Se at (0.500, 0.500, 0.000) and Br at (0.000, 0.500, 0.500).

---

Ba4AuSeBr2 | PBE-GGA | optimized geometry

For the density of states at the Fermi level, the calculation gives 0.8088 states/eV per atom. Its uncorrected formation energy is -1.48 eV/atom.

The structure belongs to space group P2/m (No. 10); the cell edges are 8.397, 4.674 and 8.455 Å and the angles 90.00°, 108.16° and 90.00°. The distinct sites, in fractional coordinates, are Ba at (0.237, 0.000, 0.224), Ba at (0.257, 0.500, 0.774), Au at (0.000, 0.500, 0.000), Se at (0.500, 0.000, 0.000), Br at (0.000, 0.000, 0.500) and Br at (0.500, 0.500, 0.500).

---

BaAuSeBr2 | PBE-GGA | optimized geometry

For the density of states at the Fermi level, the calculation gives 0.9121 states/eV per atom. Its uncorrected formation energy is -0.21 eV/atom.

The structure belongs to space group P4/mmm (No. 123); the cell edges are 6.220, 6.220 and 6.669 Å and the angles 90.00°, 90.00° and 90.00°. The distinct sites, in fractional coordinates, are Ba at (0.000, 0.000, 0.000), Au at (0.500, 0.500, 0.500), Se at (0.000, 0.000, 0.500) and Br at (0.000, 0.500, 0.000).

---

BaAuC2 | PBE-GGA | optimized geometry

For the density of states at the Fermi level, the calculation gives 0.8745 states/eV per atom. The formation energy from the elements is 1383 meV/atom.

The structure belongs to space group I-42d (No. 122); the cell edges are 4.645, 4.645 and 14.341 Å and the angles 90.00°, 90.00° and 90.00°. The distinct sites, in fractional coordinates, are Ba at (0.000, 0.000, 0.000), Au at (0.000, 0.000, 0.500) and C at (0.001, 0.250, 0.625).

---

BaAuC2 | PBE-GGA | optimized geometry

For the density of states at the Fermi level, the calculation gives 0.7086 states/eV per atom. The formation energy from the elements is 1978 meV/atom.

The structure belongs to space group Fm-3m (No. 225); the cell edges are 6.541, 6.541 and 6.541 Å and the angles 90.00°, 90.00° and 90.00°. The distinct sites, in fractional coordinates, are Ba at (0.000, 0.000, 0.000), Au at (0.000, 0.000, 0.500) and C at (0.250, 0.250, 0.250).

---

BaAuC3 | PBE-GGA | optimized geometry

For the density of states at the Fermi level, the calculation gives 1.1285 states/eV per atom. The formation energy from the elements is 3771 meV/atom.

The structure belongs to space group Pm-3m (No. 221); the cell edges are 4.757, 4.757 and 4.757 Å and the angles 90.00°, 90.00° and 90.00°. The distinct sites, in fractional coordinates, are Ba at (0.000, 0.000, 0.000), Au at (0.500, 0.500, 0.500) and C at (0.000, 0.000, 0.500).

---

Ba2AuC | PBE-GGA | optimized geometry

For the density of states at the Fermi level, the calculation gives 0.7909 states/eV per atom. The formation energy from the elements is 387 meV/atom.

The structure belongs to space group I-42d (No. 122); the cell edges are 7.939, 7.939 and 8.881 Å and the angles 90.00°, 90.00° and 90.00°. The distinct sites, in fractional coordinates, are Ba at (0.184, 0.750, 0.125), Au at (0.000, 0.000, 0.500) and C at (0.000, 0.000, 0.000).

---

BaAuC3 | PBE-GGA | optimized geometry

For the density of states at the Fermi level, the calculation gives 0.7761 states/eV per atom. The formation energy from the elements is 2295 meV/atom.

The structure belongs to space group Pm-3m (No. 221); the cell edges are 4.410, 4.410 and 4.410 Å and the angles 90.00°, 90.00° and 90.00°. The distinct sites, in fractional coordinates, are Ba at (0.000, 0.000, 0.000), Au at (0.500, 0.500, 0.500) and C at (0.000, 0.500, 0.500).

---

Ba2CdAuC | PBE-GGA | optimized geometry

For the density of states at the Fermi level, the calculation gives 0.8497 states/eV per atom. The formation energy from the elements is 517 meV/atom.

The structure belongs to space group P4/mmm (No. 123); the cell edges are 6.410, 6.410 and 4.030 Å and the angles 90.00°, 90.00° and 90.00°. The distinct sites, in fractional coordinates, are Ba at (0.000, 0.500, 0.000), Cd at (0.000, 0.000, 0.000), Au at (0.500, 0.500, 0.500) and C at (0.000, 0.000, 0.500).

---

Ba2FeAuC | PBE-GGA | optimized geometry

For the density of states at the Fermi level, the calculation gives 0.7018 states/eV per atom. The formation energy from the elements is 1117 meV/atom.

The structure belongs to space group P4/mmm (No. 123); the cell edges are 5.848, 5.848 and 4.727 Å and the angles 90.00°, 90.00° and 90.00°. The distinct sites, in fractional coordinates, are Ba at (0.000, 0.500, 0.000), Fe at (0.000, 0.000, 0.000), Au at (0.000, 0.000, 0.500) and C at (0.500, 0.500, 0.500).

---

Ba2IrAuC | PBE-GGA | optimized geometry

For the density of states at the Fermi level, the calculation gives 0.4097 states/eV per atom. The formation energy from the elements is -302 meV/atom.

The structure belongs to space group P4/mmm (No. 123); the cell edges are 5.896, 5.896 and 3.888 Å and the angles 90.00°, 90.00° and 90.00°. The distinct sites, in fractional coordinates, are Ba at (0.000, 0.500, 0.000), Ir at (0.000, 0.000, 0.500), Au at (0.500, 0.500, 0.500) and C at (0.000, 0.000, 0.000).

---

Ba2NiAuC | PBE-GGA | optimized geometry

For the density of states at the Fermi level, the calculation gives 0.5737 states/eV per atom. The formation energy from the elements is -156 meV/atom.

The structure belongs to space group P4/mmm (No. 123); the cell edges are 5.890, 5.890 and 3.671 Å and the angles 90.00°, 90.00° and 90.00°. The distinct sites, in fractional coordinates, are Ba at (0.000, 0.500, 0.000), Ni at (0.000, 0.000, 0.500), Au at (0.500, 0.500, 0.500) and C at (0.000, 0.000, 0.000).

---

BaOsAu2C | PBE-GGA | optimized geometry

For the density of states at the Fermi level, the calculation gives 0.6440 states/eV per atom. The formation energy from the elements is 605 meV/atom.

The structure belongs to space group P4/mmm (No. 123); the cell edges are 4.950, 4.950 and 4.043 Å and the angles 90.00°, 90.00° and 90.00°. The distinct sites, in fractional coordinates, are Ba at (0.000, 0.000, 0.000), Os at (0.500, 0.500, 0.000), Au at (0.000, 0.500, 0.500) and C at (0.500, 0.500, 0.500).

---

BaOsAu2C | PBE-GGA | optimized geometry

For the density of states at the Fermi level, the calculation gives 1.1638 states/eV per atom. The formation energy from the elements is 1805 meV/atom.

The structure belongs to space group P4/mmm (No. 123); the cell edges are 4.971, 4.971 and 6.329 Å and the angles 90.00°, 90.00° and 90.00°. The distinct sites, in fractional coordinates, are Ba at (0.000, 0.000, 0.000), Os at (0.000, 0.000, 0.500), Au at (0.000, 0.500, 0.500) and C at (0.500, 0.500, 0.000).

---

Ba2PtAuC | PBE-GGA | optimized geometry

For the density of states at the Fermi level, the calculation gives 0.5496 states/eV per atom. The formation energy from the elements is -417 meV/atom.

The structure belongs to space group P4/mmm (No. 123); the cell edges are 5.923, 5.923 and 3.899 Å and the angles 90.00°, 90.00° and 90.00°. The distinct sites, in fractional coordinates, are Ba at (0.000, 0.500, 0.000), Pt at (0.000, 0.000, 0.500), Au at (0.500, 0.500, 0.500) and C at (0.000, 0.000, 0.000).

---

Ba2RhAuC | PBE-GGA | optimized geometry

For the density of states at the Fermi level, the calculation gives 0.5035 states/eV per atom. The formation energy from the elements is -229 meV/atom.

The structure belongs to space group P4/mmm (No. 123); the cell edges are 5.886, 5.886 and 3.902 Å and the angles 90.00°, 90.00° and 90.00°. The distinct sites, in fractional coordinates, are Ba at (0.000, 0.500, 0.000), Rh at (0.000, 0.000, 0.500), Au at (0.500, 0.500, 0.500) and C at (0.000, 0.000, 0.000).

---

BaRuAuC2 | PBE-GGA | optimized geometry

For the density of states at the Fermi level, the calculation gives 0.4340 states/eV per atom. The formation energy from the elements is 831 meV/atom.

The structure belongs to space group P4/mmm (No. 123); the cell edges are 4.145, 4.145 and 5.333 Å and the angles 90.00°, 90.00° and 90.00°. The distinct sites, in fractional coordinates, are Ba at (0.000, 0.000, 0.000), Ru at (0.500, 0.500, 0.500), Au at (0.500, 0.500, 0.000) and C at (0.000, 0.500, 0.500).

---

Ba2SnAuC | PBE-GGA | optimized geometry

For the density of states at the Fermi level, the calculation gives 0.8850 states/eV per atom. The formation energy from the elements is 546 meV/atom.

The structure belongs to space group P4/mmm (No. 123); the cell edges are 6.554, 6.554 and 4.300 Å and the angles 90.00°, 90.00° and 90.00°. The distinct sites, in fractional coordinates, are Ba at (0.000, 0.500, 0.000), Sn at (0.000, 0.000, 0.000), Au at (0.500, 0.500, 0.500) and C at (0.000, 0.000, 0.500).

---

Ba2CaAu | PBE-GGA | optimized geometry

For the density of states at the Fermi level, the calculation gives 0.9922 states/eV per atom. The formation energy from the elements is -99 meV/atom.

The structure belongs to space group F-43m (No. 216); the cell edges are 8.291, 8.291 and 8.291 Å and the angles 90.00°, 90.00° and 90.00°. The distinct sites, in fractional coordinates, are Ba at (0.000, 0.000, 0.000), Ba at (0.250, 0.250, 0.250), Ca at (0.250, 0.250, 0.750) and Au at (0.000, 0.000, 0.500).

---

Ba2Ca2Au15 | PBE-GGA | optimized geometry

For the density of states at the Fermi level, the calculation gives 0.5119 states/eV per atom. The formation energy from the elements is -437 meV/atom.

The structure belongs to space group R-3m (No. 166, hexagonal axes); the cell edges are 9.8359, 9.8359 and 14.9781 Å and the angles 90.00°, 90.00° and 120.00°. The distinct sites, in fractional coordinates, are Ba at (0.0000, 0.0000, 0.1482), Ca at (0.0000, 0.0000, 0.3958), Au at (0.0000, 0.2943, 0.5000), Au at (0.0000, 0.5000, 0.0000) and Au at (0.0039, 0.5020, 0.6480).